Entry 1:
DFT (PBE) results for a relaxed Y2PI2 crystal.

```
5
Lattice="4.0461 0.0000 0.7483 1.9539 3.5431 0.7483 -0.0695 -0.0410 11.6884" Properties=species:S:1:pos:R:3 pbc="T T T"
I 4.5701 2.6987 9.2282
I 1.3605 0.8034 3.9568
P 0.0000 0.0000 0.0000
Y 3.7318 2.2037 2.4477
Y 2.1987 1.2984 10.7373
```

Computed properties:
**ΔE_f (raw)**: -1541 meV per atom
**SG**: R-3m (166)
**E**: -5.829 eV/atom
**M_tot**: 0.00 μB per atom



Entry 2:
DFT (PBE) results for a relaxed YPI3 crystal.

```
5
Lattice="5.5128 0.0000 0.0000 0.0000 5.5128 0.0000 0.0000 0.0000 5.5128" Properties=species:S:1:pos:R:3 pbc="T T T"
I 2.7564 0.0000 0.0000
I 0.0000 0.0000 2.7564
I 0.0000 2.7564 0.0000
Y 2.7564 2.7564 2.7564
P 0.0000 0.0000 0.0000
```

Computed properties:
**ΔE_f (raw)**: 155 meV per atom
**SG**: Pm-3m (221)
**Polymorph energy (0 for the lowest one)**: 0.477 eV/atom
**E**: -3.150 eV/atom
**M_tot**: 0.21 μB per atom



Entry 3:
DFT (PBE) results for a relaxed Y3PI3 crystal.

```
14
Lattice="0.5471 6.6138 2.4701 -4.9620 2.5788 4.3441 4.3252 -0.7294 11.1447" Properties=species:S:1:pos:R:3 pbc="T T T"
Y 0.2991 1.4653 12.8432
Y -2.3212 3.4603 4.8658
Y -0.3887 6.9980 5.1157
Y 2.2316 5.0030 13.0931
Y -3.8428 6.4368 7.1324
Y 3.7532 2.0264 10.8265
P 2.8535 2.3349 13.4159
P -2.9431 6.1283 4.5430
I 0.8697 1.3110 9.8048
I -0.9593 7.1522 8.1541
I 0.5388 4.0919 5.8670
I -2.9668 3.5795 7.9381
I -0.6284 4.3714 12.0920
I 2.8772 4.8837 10.0208
```

Computed properties:
**ΔE_f (raw)**: -1348 meV per atom
**SG**: R-3 (148)
**E**: -5.555 eV/atom
**M_tot**: 0.00 μB per atom



Entry 4:
DFT (PBE) results for a relaxed YPI3 crystal.

```
5
Lattice="6.0477 0.0000 0.0000 0.0000 6.0477 0.0000 0.0000 0.0000 6.0477" Properties=species:S:1:pos:R:3 pbc="T T T"
P 3.0239 3.0239 3.0239
I 0.0000 0.0000 3.0239
I 0.0000 3.0239 0.0000
I 3.0239 0.0000 0.0000
Y 0.0000 0.0000 0.0000
```

Computed properties:
**ΔE_f (raw)**: -322 meV per atom
**SG**: Pm-3m (221)
**Polymorph energy (0 for the lowest one)**: 0.000 eV/atom
**E**: -3.627 eV/atom
**M_tot**: 0.60 μB per atom



Entry 5:
DFT (PBE) results for a relaxed Y4PI2 crystal.

```
7
Lattice="5.3980 0.0000 0.0000 0.0000 5.3980 0.0000 2.6990 2.6990 7.5230" Properties=species:S:1:pos:R:3 pbc="T T T"
Y 0.0000 2.6990 0.0000
Y 5.3980 5.3980 2.7063
Y 2.6990 0.0000 0.0000
Y 2.6990 2.6990 4.8167
I 2.6990 2.6990 1.7483
I 5.3980 5.3980 5.7747
P 0.0000 0.0000 0.0000
```

Computed properties:
**ΔE_f (raw)**: -556 meV per atom
**SG**: I4/mmm (139)
**E**: -5.465 eV/atom
**M_tot**: 0.00 μB per atom



Entry 6:
DFT (PBE) results for a relaxed YZnP2I crystal.

```
5
Lattice="-3.3739 1.8503 -2.5951 -2.8585 -4.8396 0.2658 -2.1446 1.4777 3.8417" Properties=species:S:1:pos:R:3 pbc="T T T"
P -1.0723 0.7388 1.9209
P -1.6870 0.9251 -1.2976
Zn 0.0000 0.0000 0.0000
I -1.4293 -2.4198 0.1329
Y -4.1885 -0.7558 0.7562
```

Computed properties:
**ΔE_f (raw)**: 106 meV per atom
**SG**: P4/mmm (123)
**E**: -3.915 eV/atom
**M_tot**: 0.00 μB per atom



Entry 7:
DFT (PBE) results for a relaxed ZnPI3 crystal.

```
5
Lattice="-2.2633 -3.8302 -3.4038 -0.8358 -3.3953 4.3763 -5.0554 2.2761 0.8003" Properties=species:S:1:pos:R:3 pbc="T T T"
Zn 0.0000 0.0000 0.0000
P -4.0773 -2.4747 0.8864
I -2.5277 1.1381 0.4002
I -1.1317 -1.9151 -1.7019
I -0.4179 -1.6976 2.1882
```

Computed properties:
**ΔE_f (raw)**: 553 meV per atom
**SG**: Pm-3m (221)
**Polymorph energy (0 for the lowest one)**: 0.265 eV/atom
**E**: -1.714 eV/atom
**M_tot**: 0.40 μB per atom



Entry 8:
DFT (PBE) results for a relaxed ZnP2I6 crystal.

```
18
Lattice="-3.2331 8.0012 -2.9330 -0.0804 2.5548 9.5381 9.1198 3.3926 1.6818" Properties=species:S:1:pos:R:3 pbc="T T T"
I 1.2798 3.5556 4.8757
I 1.5684 10.1292 5.9348
I 6.1515 6.3987 4.8680
I 4.5265 10.3930 3.4112
I 7.6764 5.7419 9.5773
I 4.2379 3.8195 2.3521
I -0.3452 7.5499 3.4189
I -1.8701 8.2067 -1.2904
I 3.1963 6.1241 7.3940
I 6.0358 9.7403 8.1314
I -0.2295 4.2083 0.1555
I 2.6100 7.8245 0.8929
P 4.4496 4.7896 5.7084
P 2.8202 8.7890 4.2529
P 1.3567 9.1590 2.5785
P 2.9861 5.1596 4.0340
Zn 6.6805 9.3921 -0.5056
Zn -0.8742 4.5565 8.7924
```

Computed properties:
**ΔE_f (raw)**: -154 meV per atom
**SG**: C2/c (15)
**E**: -2.531 eV/atom
**M_tot**: 0.00 μB per atom



Entry 9:
DFT (PBE) results for a relaxed Zn3PI crystal.

```
5
Lattice="-1.8183 -4.9202 -0.5344 1.2259 0.1038 -5.1270 4.7948 -1.8924 1.1082" Properties=species:S:1:pos:R:3 pbc="T T T"
Zn -0.9092 -2.4601 -0.2672
Zn 2.3974 -0.9462 0.5541
Zn 0.6130 0.0519 -2.5635
P 2.1012 -3.3543 -2.2766
I 0.0000 0.0000 0.0000
```

Computed properties:
**ΔE_f (raw)**: 1138 meV per atom
**SG**: Pm-3m (221)
**Polymorph energy (0 for the lowest one)**: 1.091 eV/atom
**E**: -1.018 eV/atom
**M_tot**: 0.00 μB per atom



Entry 10:
DFT (PBE) results for a relaxed Zn2PI crystal.

```
4
Lattice="-2.8024 -1.1811 -2.5253 -1.0100 -3.8171 -0.1877 -6.3502 -0.5741 4.2216" Properties=species:S:1:pos:R:3 pbc="T T T"
Zn -5.6426 -4.6048 -0.8661
Zn -4.5200 -0.9676 2.3746
I 0.0000 0.0000 0.0000
P -5.0813 -2.7862 0.7543
```

Computed properties:
**ΔE_f (raw)**: -137 meV per atom
**SG**: R-3m (166)
**Polymorph energy (0 for the lowest one)**: 0.215 eV/atom
**E**: -2.514 eV/atom
**M_tot**: 0.00 μB per atom



Entry 11:
DFT (PBE) results for a relaxed Zn3PI crystal.

```
5
Lattice="-4.7937 0.9588 -0.3155 0.1646 -0.7681 -4.8354 -0.9959 -4.7422 0.7194" Properties=species:S:1:pos:R:3 pbc="T T T"
I -2.8125 -2.2757 -2.2157
Zn -0.4979 -2.3711 0.3597
Zn 0.0823 -0.3840 -2.4177
Zn -2.3968 0.4794 -0.1578
P 0.0000 0.0000 0.0000
```

Computed properties:
**ΔE_f (raw)**: 47 meV per atom
**SG**: Pm-3m (221)
**Polymorph energy (0 for the lowest one)**: 0.000 eV/atom
**E**: -2.110 eV/atom
**M_tot**: 0.00 μB per atom



Entry 12:
DFT (PBE) results for a relaxed ZnPI3 crystal.

```
5
Lattice="5.5537 0.0000 0.0000 0.0000 5.5537 0.0000 0.0000 0.0000 5.5537" Properties=species:S:1:pos:R:3 pbc="T T T"
I 2.7769 0.0000 0.0000
I 0.0000 0.0000 2.7769
I 0.0000 2.7769 0.0000
Zn 2.7769 2.7769 2.7769
P 0.0000 0.0000 0.0000
```

Computed properties:
**ΔE_f (raw)**: 288 meV per atom
**SG**: Pm-3m (221)
**Polymorph energy (0 for the lowest one)**: 0.000 eV/atom
**E**: -1.979 eV/atom
**M_tot**: 0.00 μB per atom



Entry 13:
DFT (PBE) results for a relaxed ZnP2I8 crystal.

```
11
Lattice="-3.4781 -2.5097 -1.0912 0.2882 -9.2479 -14.6065 1.6696 -7.6080 2.5439" Properties=species:S:1:pos:R:3 pbc="T T T"
I -1.1770 -16.9251 -9.8282
I -0.0577 -11.1768 -4.8132
I 0.4432 -6.4888 1.3601
I -0.3433 -2.4405 -3.3257
I -1.4279 -12.2396 -10.0770
I -0.0924 -7.1260 -3.0769
I -1.9635 -12.8769 -14.5139
I -1.4626 -8.1888 -8.3407
Zn -1.7390 -1.2549 -0.5456
P -0.0309 -9.0083 -10.1821
P -1.4893 -10.3573 -2.9718
```

Computed properties:
**ΔE_f (raw)**: -136 meV per atom
**SG**: P-1 (2)
**E**: -2.363 eV/atom
**M_tot**: 0.00 μB per atom



Entry 14:
DFT (PBE) results for a relaxed Zn2PI crystal.

```
4
Lattice="0.0000 3.4578 3.4578 3.4578 0.0000 3.4578 3.4578 3.4578 0.0000" Properties=species:S:1:pos:R:3 pbc="T T T"
Zn 1.7289 1.7289 1.7289
Zn 5.1868 5.1868 5.1868
I 3.4578 3.4578 3.4578
P 0.0000 0.0000 0.0000
```

Computed properties:
**ΔE_f (raw)**: 594 meV per atom
**SG**: Fm-3m (225)
**Polymorph energy (0 for the lowest one)**: 0.947 eV/atom
**E**: -1.783 eV/atom
**M_tot**: 0.00 μB per atom



Entry 15:
DFT (PBE) results for a relaxed ZrP3I crystal.

```
5
Lattice="-3.1641 3.7957 -0.2247 -3.6947 -3.1382 -0.9849 -0.8983 -0.4621 4.8424" Properties=species:S:1:pos:R:3 pbc="T T T"
I 0.0000 0.0000 0.0000
P -1.8473 -1.5691 -0.4925
P -1.5820 1.8978 -0.1124
P -0.4492 -0.2311 2.4212
Zr -3.8786 0.0977 1.8164
```

Computed properties:
**ΔE_f (raw)**: 1287 meV per atom
**SG**: Pm-3m (221)
**Polymorph energy (0 for the lowest one)**: 0.814 eV/atom
**E**: -3.979 eV/atom
**M_tot**: 0.00 μB per atom



Entry 16:
DFT (PBE) results for a relaxed ZrP3I crystal.

```
5
Lattice="-2.4724 -1.2646 4.2716 2.3042 -4.5441 -0.0116 3.8127 1.9262 2.7770" Properties=species:S:1:pos:R:3 pbc="T T T"
P 1.1521 -2.2720 -0.0058
P 1.9063 0.9631 1.3885
P -1.2362 -0.6323 2.1358
Zr 0.0000 0.0000 0.0000
I 1.8223 -1.9412 3.5185
```

Computed properties:
**ΔE_f (raw)**: 473 meV per atom
**SG**: Pm-3m (221)
**Polymorph energy (0 for the lowest one)**: 0.000 eV/atom
**E**: -4.793 eV/atom
**M_tot**: 0.00 μB per atom



Entry 17:
DFT (PBE) results for a relaxed Zr2PI2 crystal.

```
5
Lattice="3.8809 0.0000 0.7178 1.8741 3.3984 0.7178 -0.0419 -0.0247 11.0773" Properties=species:S:1:pos:R:3 pbc="T T T"
Zr 3.6139 2.1340 2.1618
Zr 2.0993 1.2397 10.3510
I 4.3861 2.5901 8.8371
I 1.3270 0.7836 3.6758
P 0.0000 0.0000 0.0000
```

Computed properties:
**ΔE_f (raw)**: -1156 meV per atom
**SG**: R-3m (166)
**E**: -6.277 eV/atom
**M_tot**: 0.00 μB per atom



Entry 18:
DFT (PBE) results for a relaxed Zr3PI crystal.

```
5
Lattice="4.9774 0.0000 0.0000 0.0000 4.9774 0.0000 0.0000 0.0000 4.9774" Properties=species:S:1:pos:R:3 pbc="T T T"
I 2.4887 2.4887 2.4887
P 0.0000 0.0000 0.0000
Zr 2.4887 0.0000 0.0000
Zr 0.0000 0.0000 2.4887
Zr 0.0000 2.4887 0.0000
```

Computed properties:
**ΔE_f (raw)**: -34 meV per atom
**SG**: Pm-3m (221)
**Polymorph energy (0 for the lowest one)**: 0.000 eV/atom
**E**: -6.555 eV/atom
**M_tot**: 0.00 μB per atom



Entry 19:
DFT (PBE) results for a relaxed ZrP2I crystal.

```
4
Lattice="-0.8087 -1.8746 4.3712 -4.5177 -0.4607 1.6290 -1.9787 -4.3801 0.4179" Properties=species:S:1:pos:R:3 pbc="T T T"
I -3.6525 -3.3577 3.2090
P -5.4788 -5.0365 4.8135
P -1.8263 -1.6788 1.6045
Zr 0.0000 0.0000 0.0000
```

Computed properties:
**ΔE_f (raw)**: 395 meV per atom
**SG**: Fm-3m (225)
**Polymorph energy (0 for the lowest one)**: 0.128 eV/atom
**E**: -4.834 eV/atom
**M_tot**: 0.00 μB per atom



Entry 20:
DFT (PBE) results for a relaxed ZrP2I crystal.

```
8
Lattice="-5.8397 -1.2042 1.6002 -0.9143 -2.7856 -5.4330 -1.4525 -7.8019 0.7371" Properties=species:S:1:pos:R:3 pbc="T T T"
I 0.0000 0.0000 0.0000
I -5.3346 -5.5005 0.2104
P -2.1047 -3.9328 -2.8907
P -3.6871 -2.9605 0.3847
P -3.6911 -7.5575 -1.2940
P -6.9303 -9.1325 -2.3914
Zr -3.3770 -1.9949 -1.9164
Zr -2.8719 -6.2912 -3.3062
```

Computed properties:
**ΔE_f (raw)**: 268 meV per atom
**SG**: I-42d (122)
**Polymorph energy (0 for the lowest one)**: 0.000 eV/atom
**E**: -4.962 eV/atom
**M_tot**: 0.00 μB per atom



Entry 21:
DFT (PBE) results for a relaxed Zr6PI14 crystal.

```
42
Lattice="-10.9320 0.8460 0.9110 -0.2724 -8.1947 -7.3367 0.1369 -8.7467 9.7645" Properties=species:S:1:pos:R:3 pbc="T T T"
I -7.2522 -6.8069 -1.9116
I -2.8621 -10.3136 -0.3978
I -7.8346 -9.7794 4.5597
I -6.5107 -6.8895 7.1208
I -1.6451 -3.4468 1.6520
I -4.1969 -5.2691 4.3190
I -8.2054 -5.7818 3.7366
I -4.5568 -9.2058 -3.7820
I -9.5193 -8.5798 1.0692
I -9.4224 -12.6485 1.6868
I -2.9441 -5.9287 -5.2695
I -3.8153 -9.2884 5.2504
I -2.5050 -14.2909 0.4259
I -8.5625 -1.8045 2.9129
I -9.8866 -4.6855 0.3418
I -0.5504 -8.5997 -3.2863
I -8.2603 -1.4199 -1.1562
I -5.8804 -4.0705 0.8276
I -9.7334 -13.1385 5.7893
I -1.5482 -7.5155 2.2696
I -7.0847 -15.3849 3.7400
I -6.8706 -10.8262 -0.9802
I -1.1809 -11.4099 2.9970
I -5.1871 -12.0248 2.5112
I -3.9827 -0.7105 -0.4012
I -3.2329 -6.3159 -1.2209
I -1.3341 -2.9569 -2.4505
I -10.5170 -7.4956 6.6251
Zr -2.1569 -8.6752 -5.7152
Zr -5.9746 -7.5814 4.1188
Zr -9.6351 -7.2276 -4.5303
Zr -0.6079 -14.4619 2.6298
Zr -3.9926 -6.1288 1.5578
Zr -7.4497 -6.5151 1.0435
Zr -1.4324 -8.8678 7.8691
Zr -7.0749 -9.9666 1.7810
Zr -10.4596 -1.6335 0.7090
Zr -5.0929 -8.5140 -0.7800
Zr -3.6178 -9.5802 2.2953
Zr -8.9106 -7.4201 9.0540
P 0.0000 0.0000 0.0000
P -5.5337 -8.0477 1.6694
```

Computed properties:
**ΔE_f (raw)**: -1017 meV per atom
**SG**: Cmce (64)
**E**: -4.750 eV/atom
**M_tot**: 0.00 μB per atom



Entry 22:
DFT (PBE) results for a relaxed PaI3 crystal.

```
8
Lattice="5.8405 -10.1160 0.0000 5.8405 10.1160 0.0000 0.0000 0.0000 3.9466" Properties=species:S:1:pos:R:3 pbc="T T T"
I 5.8405 5.7913 0.9866
I 3.7453 -2.1624 2.9599
I 7.9356 -2.1624 2.9599
I 5.8405 -5.7913 2.9599
I 7.9356 2.1624 0.9866
I 3.7453 2.1624 0.9866
Pa 5.8405 -3.3720 0.9866
Pa 5.8405 3.3720 2.9599
```

Computed properties:
**ΔE_f (raw)**: -845 meV per atom
**SG**: P6_3/mmc (194)
**E**: -4.382 eV/atom
**M_tot**: 0.47 μB per atom



Entry 23:
DFT (PBE) results for a relaxed PaI5 crystal.

```
6
Lattice="5.6666 0.0000 2.3574 2.8333 7.4122 1.1787 -0.0138 0.0000 8.0223" Properties=species:S:1:pos:R:3 pbc="T T T"
I 3.7727 5.9119 6.9096
I 2.8333 0.0000 1.1787
I 2.2570 4.9305 2.5639
I 6.2290 2.4817 8.9945
I 4.7133 1.5003 4.6487
Pa 0.0000 0.0000 0.0000
```

Computed properties:
**ΔE_f (raw)**: -882 meV per atom
**SG**: I4/m (87)
**Polymorph energy (0 for the lowest one)**: 0.000 eV/atom
**E**: -3.756 eV/atom
**M_tot**: 0.00 μB per atom



Entry 24:
DFT (PBE) results for a relaxed PaI5 crystal.

```
12
Lattice="-2.1901 -2.6963 2.6595 7.2947 0.6817 6.6983 -5.5116 9.4487 5.0408" Properties=species:S:1:pos:R:3 pbc="T T T"
I 0.0000 0.0000 0.0000
I 2.0759 2.6849 4.4316
I -2.0684 4.3069 6.2616
I -2.4147 1.0195 2.6434
I 1.6614 3.1272 8.1370
I -0.2928 7.4455 7.3075
I -2.7558 4.7244 2.5204
I 3.5718 -0.1479 6.3897
I -3.9788 7.5820 8.0088
I 2.0078 6.4146 11.7552
Pa 4.2915 2.8920 6.4661
Pa -2.5084 7.2384 5.2730
```

Computed properties:
**ΔE_f (raw)**: -688 meV per atom
**SG**: Pmma (51)
**Polymorph energy (0 for the lowest one)**: 0.194 eV/atom
**E**: -3.562 eV/atom
**M_tot**: 0.04 μB per atom